Record 1
ErNpRh | PBE | relaxed

abc: 3.449 5.931 12.683
angles: 90.00 90.00 90.00
Space group Immm (No. 71)
One atom of each set of equivalent atoms:
Er 0.000 0.000 0.211 (multiplicity 4)
Np 0.000 0.307 0.500 (multiplicity 4)
Rh 0.000 0.500 0.113 (multiplicity 4)

Energy of formation ... -314 meV per atom
N(E_F) ... 23.09 states/eV/cell
Density ... 12.98 g cm⁻³
Size of the total moment ... 0.232 μB per atom

Record 2
CeZnSnRh | PBE | relaxed

abc: 6.828 6.828 6.828
angles: 90.00 90.00 90.00
Space group F-43m (No. 216)
One atom of each set of equivalent atoms:
Ce 0.000 0.000 0.000 (multiplicity 4)
Zn 0.250 0.250 0.750 (multiplicity 4)
Sn 0.000 0.000 0.500 (multiplicity 4)
Rh 0.250 0.250 0.250 (multiplicity 4)

Energy of formation ... -520 meV per atom
N(E_F) ... 14.52 states/eV/cell
Density ... 8.91 g cm⁻³
Size of the total moment ... 0.000 μB per atom

Record 3
TaMoRu2 | PBE | relaxed

abc: 3.128 4.442 8.993
angles: 90.00 90.00 90.00
Space group Imm2 (No. 44)
One atom of each set of equivalent atoms:
Ta 0.000 0.000 0.000 (multiplicity 2)
Mo 0.000 0.500 0.741 (multiplicity 2)
Ru 0.000 0.000 0.487 (multiplicity 2)
Ru 0.000 0.500 0.263 (multiplicity 2)

Energy of formation ... -16 meV per atom
N(E_F) ... 7.52 states/eV/cell
Density ... 12.73 g cm⁻³
Size of the total moment ... 0.000 μB per atom
Excess energy over the best structure of this formula in the dataset ... 60.2 meV/atom

Record 4
NaSr3Pd | PBE | relaxed

abc: 21.537 4.202 9.159
angles: 90.00 91.11 90.00
Space group C2/m (No. 12)
One atom of each set of equivalent atoms:
Na 0.218 0.000 0.348 (multiplicity 4)
Sr 0.035 0.000 0.192 (multiplicity 4)
Sr 0.094 0.500 0.581 (multiplicity 4)
Sr 0.167 0.000 0.919 (multiplicity 4)
Pd 0.060 0.500 0.921 (multiplicity 4)

Energy of formation ... -248 meV per atom
N(E_F) ... 15.31 states/eV/cell
Density ... 3.14 g cm⁻³
Size of the total moment ... 0.000 μB per atom
Excess energy over the best structure of this formula in the dataset ... 38.2 meV/atom

Record 5
Sr3Zn3Au | PBE | relaxed

abc: 11.728 4.587 16.175
angles: 90.00 110.15 90.00
Space group C2/m (No. 12)
One atom of each set of equivalent atoms:
Sr 0.040 0.000 0.271 (multiplicity 4)
Sr 0.178 0.000 0.576 (multiplicity 4)
Sr 0.180 0.500 0.101 (multiplicity 4)
Zn 0.024 0.500 0.423 (multiplicity 4)
Zn 0.055 0.000 0.943 (multiplicity 4)
Zn 0.166 0.500 0.730 (multiplicity 4)
Au 0.103 0.500 0.876 (multiplicity 4)

Energy of formation ... -363 meV per atom
N(E_F) ... 22.07 states/eV/cell
Density ... 5.33 g cm⁻³
Size of the total moment ... 0.000 μB per atom

Record 6
Zr2W | PBE | relaxed

abc: 10.844 3.323 7.286
angles: 90.00 110.13 90.00
Space group C2/m (No. 12)
One atom of each set of equivalent atoms:
Zr 0.006 0.000 0.225 (multiplicity 4)
Zr 0.172 0.500 0.607 (multiplicity 4)
W 0.179 0.500 0.067 (multiplicity 4)

Energy of formation ... 88 meV per atom
N(E_F) ... 16.56 states/eV/cell
Density ... 9.87 g cm⁻³
Size of the total moment ... 0.000 μB per atom
Excess energy over the best structure of this formula in the dataset ... 0.0 meV/atom

Record 7
ZrTi2Te | PBE | relaxed

abc: 3.855 4.143 10.127
angles: 90.00 101.05 90.00
Space group P2_1/m (No. 11)
One atom of each set of equivalent atoms:
Zr 0.197 0.250 0.391 (multiplicity 2)
Ti 0.051 0.750 0.100 (multiplicity 2)
Ti 0.445 0.750 0.891 (multiplicity 2)
Te 0.343 0.250 0.688 (multiplicity 2)

N(E_F) ... 7.91 states/eV/cell
Density ... 6.58 g cm⁻³
Energy relative to the elements, uncorrected ... -0.44 eV per atom
Size of the total moment ... 0.000 μB per atom

Record 8
FeIr8Rh2 | PBE | relaxed

abc: 13.883 3.844 6.087
angles: 90.00 105.24 90.00
Space group C2/m (No. 12)
One atom of each set of equivalent atoms:
Fe 0.000 0.000 0.000 (multiplicity 2)
Ir 0.044 0.500 0.731 (multiplicity 4)
Ir 0.090 0.000 0.454 (multiplicity 4)
Ir 0.134 0.500 0.179 (multiplicity 4)
Ir 0.180 0.000 0.907 (multiplicity 4)
Rh 0.228 0.500 0.638 (multiplicity 4)

Energy of formation ... -26 meV per atom
N(E_F) ... 24.08 states/eV/cell
Density ... 19.07 g cm⁻³
Size of the total moment ... 0.188 μB per atom

Record 9
CaSm5Sn5 | PBE | relaxed

abc: 12.326 6.309 10.269
angles: 90.00 114.46 90.00
Space group C2/m (No. 12)
One atom of each set of equivalent atoms:
Ca 0.000 0.000 0.000 (multiplicity 2)
Sm 0.000 0.000 0.500 (multiplicity 2)
Sm 0.163 0.500 0.336 (multiplicity 4)
Sm 0.171 0.500 0.836 (multiplicity 4)
Sn 0.000 0.500 0.000 (multiplicity 2)
Sn 0.161 0.000 0.335 (multiplicity 4)
Sn 0.172 0.000 0.830 (multiplicity 4)

Energy of formation ... -428 meV per atom
N(E_F) ... 17.83 states/eV/cell
Density ... 6.33 g cm⁻³
Size of the total moment ... 0.000 μB per atom

Record 10
NdHoLu | PBE | relaxed

abc: 5.6402 5.6402 3.4578
angles: 90.00 90.00 120.00
Space group P-6m2 (No. 187)
One atom of each set of equivalent atoms:
Nd 0.0000 0.0000 0.0000 (multiplicity 1)
Ho 0.6667 0.3333 0.5000 (multiplicity 1)
Lu 0.3333 0.6667 0.5000 (multiplicity 1)

Energy of formation ... 81 meV per atom
N(E_F) ... 4.55 states/eV/cell
Density ... 8.44 g cm⁻³
Size of the total moment ... 0.000 μB per atom
Excess energy over the best structure of this formula in the dataset ... 51.4 meV/atom

Record 11
CeTi2AlPt4 | PBE | relaxed

abc: 4.3741 4.3741 26.3040
angles: 90.00 90.00 120.00
Space group R-3m (No. 166, hexagonal axes)
One atom of each set of equivalent atoms:
Ce 0.0000 0.0000 0.0000 (multiplicity 3)
Ti 0.0000 0.0000 0.2379 (multiplicity 6)
Al 0.0000 0.0000 0.5000 (multiplicity 3)
Pt 0.0000 0.0000 0.1336 (multiplicity 6)
Pt 0.0000 0.0000 0.4023 (multiplicity 6)

Energy of formation ... -971 meV per atom
N(E_F) ... 25.26 states/eV/cell
Density ... 11.92 g cm⁻³
Size of the total moment ... 0.094 μB per atom

Record 12
Al2TlHg | PBE | relaxed

abc: 3.1554 3.1554 31.6628
angles: 90.00 90.00 120.00
Space group R3m (No. 160, hexagonal axes)
One atom of each set of equivalent atoms:
Al 0.0000 0.0000 0.0000 (multiplicity 3)
Al 0.0000 0.0000 0.2631 (multiplicity 3)
Tl 0.0000 0.0000 0.5134 (multiplicity 3)
Hg 0.0000 0.0000 0.7474 (multiplicity 3)

Energy of formation ... 182 meV per atom
N(E_F) ... 4.40 states/eV/cell
Density ... 8.37 g cm⁻³
Size of the total moment ... 0.000 μB per atom